Record 1
A plane-wave DFT calculation with PBE was carried out for crystalline Tm2RhBr at its relaxed geometry. Values from VASP.

Cell and atoms, written as Quantum ESPRESSO input:
```
&SYSTEM
  ibrav = 0, nat = 4, ntyp = 3
/
ATOMIC_SPECIES
Rh 102.91 Rh.upf
Br 79.90 Br.upf
Tm 168.93 Tm.upf
ATOMIC_POSITIONS crystal
Rh 0.668 0.668 0.997
Br 0.496 0.496 0.513
Tm 0.065 0.065 0.806
Tm 0.272 0.272 0.184
CELL_PARAMETERS angstrom
3.949 0.000 0.000
1.974 3.420 0.000
1.974 1.140 7.667
```

Output
DOS(E_F): 0.3 states/eV/cell
formation energy (no corrections): -1.0632 eV/atom
E above lowest polymorph: 18.7 meV/atom


Record 2
A plane-wave DFT calculation with PBE was carried out for crystalline V3RhBr at its relaxed geometry. Values from VASP.

Cell and atoms, written as Quantum ESPRESSO input:
```
&SYSTEM
  ibrav = 0, nat = 5, ntyp = 3
/
ATOMIC_SPECIES
Br 79.90 Br.upf
Rh 102.91 Rh.upf
V 50.94 V.upf
ATOMIC_POSITIONS crystal
Br 0.500 0.500 0.500
Rh 0.000 0.000 0.000
V 0.000 0.000 0.500
V 0.000 0.500 0.000
V 0.500 0.000 0.000
CELL_PARAMETERS angstrom
-0.080 1.241 -4.609
-4.061 -2.440 -0.586
-2.508 3.911 1.097
```

Output
DOS(E_F): 12.3 states/eV/cell
formation energy (no corrections): 1.0024 eV/atom
E above lowest polymorph: 0.0 meV/atom


Record 3
A plane-wave DFT calculation with PBE was carried out for crystalline V2RhBr at its relaxed geometry. Values from VASP.

Cell and atoms, written as Quantum ESPRESSO input:
```
&SYSTEM
  ibrav = 0, nat = 8, ntyp = 3
/
ATOMIC_SPECIES
V 50.94 V.upf
Rh 102.91 Rh.upf
Br 79.90 Br.upf
ATOMIC_POSITIONS crystal
V 0.109 0.625 0.250
V 0.875 0.891 0.750
V 0.641 0.125 0.250
V 0.375 0.359 0.750
Rh 0.000 0.000 0.000
Rh 0.750 0.250 0.500
Br 0.250 0.750 0.500
Br 0.500 0.500 0.000
CELL_PARAMETERS angstrom
6.571 0.000 0.000
0.000 6.571 0.000
3.285 3.285 3.435
```

Output
DOS(E_F): 9.2 states/eV/cell
formation energy (no corrections): 0.5415 eV/atom
E above lowest polymorph: 117.0 meV/atom


Record 4
A plane-wave DFT calculation with PBE was carried out for crystalline V3RhBr at its relaxed geometry. Values from VASP.

Cell and atoms, written as Quantum ESPRESSO input:
```
&SYSTEM
  ibrav = 0, nat = 5, ntyp = 3
/
ATOMIC_SPECIES
Br 79.90 Br.upf
V 50.94 V.upf
Rh 102.91 Rh.upf
ATOMIC_POSITIONS crystal
Br 0.000 0.000 0.000
V 0.000 0.500 0.000
V 0.500 0.000 0.000
V 0.000 0.000 0.500
Rh 0.500 0.500 0.500
CELL_PARAMETERS angstrom
4.432 0.000 0.000
0.000 4.432 0.000
0.000 0.000 4.432
```

Output
DOS(E_F): 7.9 states/eV/cell
formation energy (no corrections): 1.1026 eV/atom
E above lowest polymorph: 100.2 meV/atom


Record 5
A plane-wave DFT calculation with PBE was carried out for crystalline V2RhBr at its relaxed geometry. Values from VASP.

Cell and atoms, written as Quantum ESPRESSO input:
```
&SYSTEM
  ibrav = 0, nat = 4, ntyp = 3
/
ATOMIC_SPECIES
V 50.94 V.upf
Br 79.90 Br.upf
Rh 102.91 Rh.upf
ATOMIC_POSITIONS crystal
V 0.250 0.250 0.250
V 0.750 0.750 0.750
Br 0.000 0.000 0.000
Rh 0.500 0.500 0.500
CELL_PARAMETERS angstrom
2.829 -1.672 2.883
2.628 2.652 2.274
-0.650 0.574 4.285
```

Output
DOS(E_F): 5.7 states/eV/cell
formation energy (no corrections): 0.4245 eV/atom
E above lowest polymorph: 0.0 meV/atom


Record 6
A plane-wave DFT calculation with PBE was carried out for crystalline VRh3Br at its relaxed geometry. Values from VASP.

Cell and atoms, written as Quantum ESPRESSO input:
```
&SYSTEM
  ibrav = 0, nat = 5, ntyp = 3
/
ATOMIC_SPECIES
Rh 102.91 Rh.upf
Br 79.90 Br.upf
V 50.94 V.upf
ATOMIC_POSITIONS crystal
Rh 0.000 0.000 0.500
Rh 0.000 0.500 0.000
Rh 0.500 0.000 0.000
Br 0.000 0.000 0.000
V 0.500 0.500 0.500
CELL_PARAMETERS angstrom
-1.437 4.328 0.325
-1.859 -0.923 4.074
3.922 1.148 2.050
```

Output
DOS(E_F): 8.0 states/eV/cell
formation energy (no corrections): 1.1157 eV/atom
E above lowest polymorph: 196.9 meV/atom


Record 7
A plane-wave DFT calculation with PBE was carried out for crystalline VRhBr at its relaxed geometry. Values from VASP.

Cell and atoms, written as Quantum ESPRESSO input:
```
&SYSTEM
  ibrav = 0, nat = 12, ntyp = 3
/
ATOMIC_SPECIES
V 50.94 V.upf
Rh 102.91 Rh.upf
Br 79.90 Br.upf
ATOMIC_POSITIONS crystal
V 0.910 0.750 0.858
V 0.410 0.750 0.858
V 0.910 0.250 0.142
V 0.410 0.250 0.142
Rh 0.160 0.746 0.082
Rh 0.160 0.246 0.918
Rh 0.660 0.254 0.918
Rh 0.660 0.754 0.082
Br 0.160 0.509 0.670
Br 0.660 0.991 0.670
Br 0.160 0.009 0.330
Br 0.660 0.491 0.330
CELL_PARAMETERS angstrom
-3.327 -2.954 -3.248
-0.421 -3.022 3.179
-7.789 4.843 3.572
```

Output
DOS(E_F): 10.3 states/eV/cell
formation energy (no corrections): -0.4312 eV/atom


Record 8
A plane-wave DFT calculation with PBE was carried out for crystalline VRh3Br at its relaxed geometry. Values from VASP.

Cell and atoms, written as Quantum ESPRESSO input:
```
&SYSTEM
  ibrav = 0, nat = 5, ntyp = 3
/
ATOMIC_SPECIES
Rh 102.91 Rh.upf
Br 79.90 Br.upf
V 50.94 V.upf
ATOMIC_POSITIONS crystal
Rh 0.000 0.500 0.000
Rh 0.000 0.000 0.500
Rh 0.500 0.000 0.000
Br 0.500 0.500 0.500
V 0.000 0.000 0.000
CELL_PARAMETERS angstrom
4.570 0.000 0.000
0.000 4.570 0.000
0.000 0.000 4.570
```

Output
DOS(E_F): 7.8 states/eV/cell
formation energy (no corrections): 0.9188 eV/atom
E above lowest polymorph: 0.0 meV/atom


Record 9
A plane-wave DFT calculation with PBE was carried out for crystalline VRhW2Br at its relaxed geometry. Values from VASP.

Cell and atoms, written as Quantum ESPRESSO input:
```
&SYSTEM
  ibrav = 0, nat = 5, ntyp = 4
/
ATOMIC_SPECIES
Br 79.90 Br.upf
W 183.84 W.upf
V 50.94 V.upf
Rh 102.91 Rh.upf
ATOMIC_POSITIONS crystal
Br 0.500 0.500 0.500
W 0.000 0.000 0.500
W 0.500 0.000 0.000
V 0.000 0.000 0.000
Rh 0.000 0.500 0.000
CELL_PARAMETERS angstrom
-1.364 -4.427 0.483
0.504 0.334 4.484
-4.423 1.406 0.392
```

Output
DOS(E_F): 6.3 states/eV/cell
formation energy (no corrections): 1.7800 eV/atom


Record 10
A plane-wave DFT calculation with PBE was carried out for crystalline RhW2Br at its relaxed geometry. Values from VASP.

Cell and atoms, written as Quantum ESPRESSO input:
```
&SYSTEM
  ibrav = 0, nat = 8, ntyp = 3
/
ATOMIC_SPECIES
Rh 102.91 Rh.upf
W 183.84 W.upf
Br 79.90 Br.upf
ATOMIC_POSITIONS crystal
Rh 0.750 0.250 0.500
Rh 0.000 0.000 0.000
W 0.875 0.892 0.750
W 0.375 0.358 0.750
W 0.108 0.625 0.250
W 0.642 0.125 0.250
Br 0.500 0.500 0.000
Br 0.250 0.750 0.500
CELL_PARAMETERS angstrom
5.769 0.000 0.000
0.000 5.769 0.000
2.884 2.884 5.486
```

Output
DOS(E_F): 8.7 states/eV/cell
formation energy (no corrections): 1.5264 eV/atom
E above lowest polymorph: 1149.7 meV/atom


Record 11
A plane-wave DFT calculation with PBE was carried out for crystalline RhW2Br at its relaxed geometry. Values from VASP.

Cell and atoms, written as Quantum ESPRESSO input:
```
&SYSTEM
  ibrav = 0, nat = 4, ntyp = 3
/
ATOMIC_SPECIES
W 183.84 W.upf
Br 79.90 Br.upf
Rh 102.91 Rh.upf
ATOMIC_POSITIONS crystal
W 0.500 0.403 0.203
W 0.000 0.156 0.001
Br 0.000 0.136 0.488
Rh 0.500 0.806 0.808
CELL_PARAMETERS angstrom
3.095 0.000 0.000
0.000 3.223 0.302
0.000 2.164 7.813
```

Output
DOS(E_F): 3.4 states/eV/cell
formation energy (no corrections): 0.3766 eV/atom
E above lowest polymorph: 0.0 meV/atom


Record 12
A plane-wave DFT calculation with PBE was carried out for crystalline RhW2Br at its relaxed geometry. Values from VASP.

Cell and atoms, written as Quantum ESPRESSO input:
```
&SYSTEM
  ibrav = 0, nat = 4, ntyp = 3
/
ATOMIC_SPECIES
W 183.84 W.upf
Rh 102.91 Rh.upf
Br 79.90 Br.upf
ATOMIC_POSITIONS crystal
W 0.000 0.000 0.502
W 0.000 0.000 0.998
Rh 0.500 0.500 0.750
Br 0.500 0.500 0.250
CELL_PARAMETERS angstrom
-0.994 2.831 0.243
-0.406 -0.396 2.956
6.528 2.189 1.191
```

Output
DOS(E_F): 4.1 states/eV/cell
formation energy (no corrections): 0.7739 eV/atom
E above lowest polymorph: 397.3 meV/atom


Values for size of the total moment, Bohr magnetons per cell, ordered as above
0.0 6.7 7.1 3.6 0.0 2.5 1.0 0.0 0.0 0.0 0.0 0.0